DFT (PBE+U) results for a geometry-optimized Li6CrO6 structure.

magnetization: 0.0 μB per formula unit
energy: -282.3 eV/cell

Cell: 9.795 5.648 11.034 Å, 90.00 91.26 90.00°
Space group Cc (No. 9)
Inequivalent atoms, fractional coordinates:
Li1 0.000 0.005 0.000 x4
Li2 0.133 0.215 0.190 x4
Li3 0.136 0.195 0.754 x4
Li4 0.165 0.485 0.500 x4
Li5 0.339 0.401 0.691 x4
Li6 0.472 0.144 0.147 x4
Cr1 0.326 0.003 0.903 x4
O1 0.005 0.022 0.669 x4
O2 0.156 0.474 0.669 x4
O3 0.183 0.147 0.943 x4
O4 0.321 0.011 0.750 x4
O5 0.327 0.277 0.450 x4
O6 0.465 0.143 0.957 x4